1.
A relaxed Tm4Te2PPb crystal, computed with PBE.

## Properties
- formation energy (no corrections) (eV per atom) = -1.141
- magnetization (μB/f.u.) = 0.00
- E_tot (eV/cell) = -42.42
- volume (A^3/atom) = 27.2
- space-group type = No. 10
- crystal system = monoclinic

Cell: 4.2217 7.4097 7.3604 Å, 70.93 90.00 90.00°
Element x y z (fractional)
Pb  0.5000  0.5000  0.0000
P  0.0000  0.5000  0.5000
Tm  0.0000  0.2712  0.2581
Tm  0.0000  0.7288  0.7419
Tm  0.5000  0.2822  0.7259
Tm  0.5000  0.7178  0.2741
Te  0.0000  0.0000  0.0000
Te  0.5000  0.0000  0.5000



2.
A relaxed PtRhAu2 crystal, computed with PBE.

## Properties
- magnetization (μB/f.u.) = 0.05
- E_tot (eV/cell) = -19.24
- polymorph energy (0 for the lowest one) (meV per atom) = 110
- volume (A^3/atom) = 16.4
- space-group type = No. 123
- energy of formation (meV/atom) = 176
- crystal system = tetragonal

Cell: 4.0240 4.0240 4.0594 Å, 90.00 90.00 90.00°
Element x y z (fractional)
Pt  0.5000  0.5000  0.5000
Au  0.0000  0.5000  0.0000
Au  0.5000  0.0000  0.0000
Rh  0.0000  0.0000  0.5000